First-principles (GGA-PBE) data for Tl2CdIn4Pb after structural relaxation, as listed in Alexandria via LeMat-Bulk.

Results
Its total magnetization is 0.0 Bohr magnetons per cell. The total energy comes out at -2.45 eV/atom. The space group is C2/c, No. 15. The calculation puts the calculated formation energy at 0.09 eV per atom.

Lattice parameters (Å, degrees): 9.1867 9.1920 11.6868 129.51 129.47 86.94
Sites, in units of the cell vectors:
In: 0.7547 0.7474 0.5168
In: 0.2453 0.2526 0.4832
In: 0.7526 0.7452 0.9831
In: 0.2594 0.7387 0.4990
In: 0.2387 0.7594 0.9990
In: 0.2474 0.2548 0.0169
In: 0.7406 0.2613 0.5010
In: 0.7613 0.2406 0.0010
Tl: 0.5000 0.0000 0.0000
Tl: 0.0000 0.0000 0.5000
Tl: 0.5000 0.0000 0.5000
Tl: 0.5000 0.5000 0.0000
Cd: 0.5000 0.5000 0.5000
Cd: 0.0000 0.0000 0.0000
Pb: 0.0000 0.5000 0.5000
Pb: 0.0000 0.5000 0.0000